First-principles (PBE) data for Nd5Bi2Te after structural relaxation, as listed in Alexandria via LeMat-Bulk.

Cell and atoms, written as CIF:
```
data_Nd5Bi2Te
_chemical_formula_sum 'Nd10 Bi4 Te2'
_symmetry_space_group_name_H-M 'P 1'
_symmetry_Int_Tables_number 1
_symmetry_space_group_name_Hall 'P 1'
_cell_length_a 7.320
_cell_length_b 7.320
_cell_length_c 14.263
_cell_angle_alpha 90.00
_cell_angle_beta 90.00
_cell_angle_gamma 128.68
loop_
_atom_site_label
_atom_site_type_symbol
_atom_site_fract_x
_atom_site_fract_y
_atom_site_fract_z
Nd1 Nd 0.053 0.947 0.612
Nd2 Nd 0.053 0.947 0.888
Nd3 Nd 0.341 0.659 0.250
Nd4 Nd 0.376 0.624 0.567
Nd5 Nd 0.376 0.624 0.933
Nd6 Nd 0.624 0.376 0.067
Nd7 Nd 0.624 0.376 0.433
Nd8 Nd 0.659 0.341 0.750
Nd9 Nd 0.947 0.053 0.112
Nd10 Nd 0.947 0.053 0.388
Bi1 Bi 0.187 0.813 0.079
Bi2 Bi 0.187 0.813 0.421
Bi3 Bi 0.813 0.187 0.579
Bi4 Bi 0.813 0.187 0.921
Te1 Te 0.237 0.763 0.750
Te2 Te 0.763 0.237 0.250
```

## Properties
* DOS(E_F): 17.79 states/eV per cell
* magnetic moment: 0.0 μB per cell
* uncorrected formation energy: -4.48 eV/f.u.
* symmetry: Cmcm (63)